(1)
# CaNd3Rh | Alexandria | PBE | relaxed
# **ΔE to the lowest computed polymorph**: 4 meV/atom
# **DOS at the Fermi energy**: 6.0 states/eV per cell
# **ΔE_f**: -1.1 eV/f.u.
data_CaNd3Rh
_chemical_formula_sum 'Ca1 Nd3 Rh1'
_space_group_name_H-M_alt 'P m -3 m'
_space_group_IT_number 221
_space_group_name_Hall '-P 4 2 3'
_cell_length_a 5.635
_cell_length_b 5.635
_cell_length_c 5.635
_cell_angle_alpha 90.00
_cell_angle_beta 90.00
_cell_angle_gamma 90.00
loop_
_atom_site_label
_atom_site_type_symbol
_atom_site_fract_x
_atom_site_fract_y
_atom_site_fract_z
Ca1 Ca 0.000 0.000 0.000
Nd1 Nd 0.000 0.500 0.500
Rh1 Rh 0.500 0.500 0.500


(2)
# RbAg2SeI | Alexandria | PBE | relaxed
# **ΔE_f (raw)**: -0.479 eV/atom
data_RbAg2SeI
_chemical_formula_sum 'Rb1 Ag2 Se1 I1'
_space_group_name_H-M_alt 'P 4/m m m'
_space_group_IT_number 123
_space_group_name_Hall '-P 4 2'
_cell_length_a 5.065
_cell_length_b 5.065
_cell_length_c 7.038
_cell_angle_alpha 90.00
_cell_angle_beta 90.00
_cell_angle_gamma 90.00
loop_
_atom_site_label
_atom_site_type_symbol
_atom_site_fract_x
_atom_site_fract_y
_atom_site_fract_z
Rb1 Rb 0.000 0.000 0.000
Ag1 Ag 0.000 0.500 0.500
Se1 Se 0.000 0.000 0.500
I1 I 0.500 0.500 0.000


| no. | energy (eV for the cell shown) |
| --- | --- |
| 1 | -24.74 |
| 2 | -14.10 |